1.
Entry from Alexandria: crystalline ThIn6Ag6 at its relaxed geometry (PBE-GGA).

Cell and atoms, written as POSCAR:
```
ThIn6Ag6
1.0
-3.827 -2.875 3.434
-3.433 -5.685 -3.533
3.090 -5.828 3.616
In Ag Th
6 6 1
Cartesian
-1.167 -5.735 -1.049
-1.536 -8.555 1.231
0.823 -5.778 1.133
-1.298 -2.964 1.125
-2.634 -5.832 2.287
-2.872 -11.424 2.393
-3.630 -4.280 -0.049
1.545 -2.914 1.808
-3.789 -7.157 -0.108
-0.368 -4.351 3.525
-0.381 -7.231 3.626
-1.717 -2.842 -1.766
0.000 0.000 0.000
```

Calculated values
ρ in g/cm3: 9.2
Energy of formation from the pure elements in meV/atom: -126
Space group: Immm

=====

2.
Entry from Alexandria: crystalline YTaTc2 at its relaxed geometry (PBE-GGA).

Cell and atoms, written as POSCAR:
```
YTaTc2
1.0
-2.976 1.220 -0.573
-1.290 -2.172 2.071
0.821 4.412 5.137
Tc Ta Y
2 1 1
Cartesian
0.436 2.346 2.731
0.795 4.272 4.975
-1.517 2.833 4.602
-1.927 0.627 2.034
```

Calculated values
ρ in g/cm3: 10.6
Energy of formation from the pure elements in meV/atom: -138
Space group: P4/mmm

=====

3.
Entry from Alexandria: crystalline LiPd3Rh at its relaxed geometry (PBE-GGA).

Cell and atoms, written as POSCAR:
```
LiPd3Rh
1.0
-1.457 -0.039 -5.271
6.444 0.277 -1.783
-3.913 -8.162 1.142
Rh Pd Li
4 12 4
Cartesian
3.217 -3.484 -1.553
-2.144 -4.440 -4.359
0.187 -0.349 -3.575
0.887 -7.575 -2.337
1.107 -5.150 -0.977
2.483 -3.469 -4.189
0.920 -0.364 -0.943
-1.854 -2.038 -3.023
-1.409 -4.455 -1.723
2.699 -1.078 -2.867
-4.172 -6.129 -3.762
-1.625 -6.846 -3.046
5.246 -1.795 -2.151
0.153 -7.560 -4.969
2.927 -5.886 -2.889
-0.033 -2.774 -4.936
-0.974 -6.813 -0.408
0.446 -5.183 -3.650
2.048 -1.111 -5.504
0.627 -2.741 -2.263
```

Calculated values
ρ in g/cm3: 9.8
Energy of formation from the pure elements in meV/atom: -125
Space group: P2_1/c

=====

4.
Entry from Alexandria: crystalline NaS5Br at its relaxed geometry (PBE-GGA).

Cell and atoms, written as POSCAR:
```
NaS5Br
1.0
-2.976 8.317 -1.983
-1.638 1.595 -3.860
-4.332 -8.719 4.332
S Na Br
5 1 1
Cartesian
-0.785 -0.894 0.502
-0.601 0.869 -0.576
-2.491 1.304 -1.368
-4.652 -3.369 1.656
-5.397 -2.629 0.049
-5.352 0.416 -0.128
-5.662 2.695 -1.660
```

Calculated values
Calculated total energy in eV/atom: -3.5499
ρ in g/cm3: 1.9
Space group: P1

=====

5.
Entry from Alexandria: crystalline ScTi2Re at its relaxed geometry (PBE-GGA).

Cell and atoms, written as POSCAR:
```
ScTi2Re
1.0
-0.246 -3.073 0.813
3.132 -0.373 -0.462
1.198 1.690 6.749
Ti Sc Re
2 1 1
Cartesian
0.244 0.344 1.375
0.954 1.345 5.373
2.042 -0.878 3.550
1.443 -1.723 0.175
```

Calculated values
ρ in g/cm3: 7.6
Energy of formation from the pure elements in meV/atom: -131
Space group: P4/mmm

=====

6.
Entry from Alexandria: crystalline La3InB2Pt9 at its relaxed geometry (PBE-GGA).

Cell and atoms, written as POSCAR:
```
La3InB2Pt9
1.0
-3.356 2.384 -4.191
0.331 -5.842 0.530
-7.478 0.126 6.059
Pt La B In
9 3 2 1
Cartesian
-7.976 -1.813 1.238
-1.513 -1.729 -1.831
0.165 -2.921 0.265
-2.527 -1.518 1.160
-1.678 1.192 -2.096
-4.036 -3.243 -0.667
-6.467 -0.088 3.065
-2.362 -4.433 1.424
-8.141 1.101 0.974
-4.863 -0.312 -0.401
0.000 0.000 0.000
-5.640 -3.020 2.799
-1.977 -3.082 -0.170
-8.526 -0.250 2.568
-3.739 0.063 3.030
```

Calculated values
ρ in g/cm3: 13.3
Energy of formation from the pure elements in meV/atom: -804
Space group: P-3m1

=====

7.
Entry from Alexandria: crystalline Tc2Os2Se at its relaxed geometry (PBE-GGA).

Cell and atoms, written as POSCAR:
```
Tc2Os2Se
1.0
-3.200 -0.215 1.603
0.966 -3.104 1.512
1.232 1.566 6.680
Tc Se Os
2 1 2
Cartesian
0.541 -1.599 4.875
-1.542 -0.154 4.920
0.000 0.000 0.000
-0.629 -0.989 2.622
-0.373 -0.764 7.173
```

Calculated values
Calculated total energy in eV/atom: -8.6364
ρ in g/cm3: 13.0
Space group: I4/mmm

=====

8.
Entry from Alexandria: crystalline SrCeSm2Se4 at its relaxed geometry (PBE-GGA).

Cell and atoms, written as POSCAR:
```
SrCeSm2Se4
1.0
4.218 0.000 0.000
0.000 7.341 -0.158
0.000 2.572 6.908
Se Sm Sr Ce
4 2 1 1
Cartesian
4.218 2.437 1.683
2.109 3.719 5.186
0.000 7.477 5.067
2.109 6.194 1.564
0.000 2.572 6.908
2.109 1.286 3.454
0.000 4.957 3.375
2.109 3.670 -0.079
```

Calculated values
Calculated total energy in eV/atom: -5.7257
ρ in g/cm3: 6.5
Space group: P2/m

=====

9.
Entry from Alexandria: crystalline Li2TcCl at its relaxed geometry (PBE-GGA).

Cell and atoms, written as POSCAR:
```
Li2TcCl
1.0
-2.262 3.706 -1.197
-4.423 -0.228 -0.820
-2.921 1.880 2.867
Li Cl Tc
2 1 1
Cartesian
-2.402 1.339 0.212
0.000 0.000 0.000
-4.803 2.679 0.425
-7.205 4.018 0.637
```

Calculated values
Calculated total energy in eV/atom: -3.4958
ρ in g/cm3: 3.8
Space group: F-43m

=====

10.
Entry from Alexandria: crystalline Pm8Ho6Er at its relaxed geometry (PBE-GGA).

Cell and atoms, written as POSCAR:
```
Pm8Ho6Er
1.0
-3.175 -3.386 4.612
-2.370 -6.469 -6.380
7.993 -0.893 4.846
Ho Pm Er
6 8 1
Cartesian
5.347 -4.192 3.778
-2.898 -6.555 -0.700
0.262 -8.596 -0.023
-0.376 -5.362 1.912
2.825 -5.385 1.166
2.187 -2.152 3.101
0.792 -2.635 0.156
1.745 -5.731 5.163
-2.020 -5.448 -3.845
4.468 -5.300 6.923
1.657 -8.113 2.922
0.704 -5.016 -2.085
-0.448 -3.310 5.000
2.896 -7.438 -1.923
-1.587 -1.693 2.306
```

Calculated values
ρ in g/cm3: 7.7
Energy of formation from the pure elements in meV/atom: 175
Space group: P-3

=====

11.
Entry from Alexandria: crystalline TiZnRh2 at its relaxed geometry (PBE-GGA).

Cell and atoms, written as POSCAR:
```
TiZnRh2
1.0
2.903 0.000 0.000
1.451 2.514 0.000
1.451 0.838 8.149
Ti Rh Zn
1 2 1
Cartesian
2.903 1.676 0.003
1.451 0.838 1.974
1.451 0.838 6.175
2.903 1.676 4.071
```

Calculated values
ρ in g/cm3: 8.9
Energy of formation from the pure elements in meV/atom: -460
Space group: R3m

=====

12.
Entry from Alexandria: crystalline Tm5Te2Ru2 at its relaxed geometry (PBE-GGA).

Cell and atoms, written as POSCAR:
```
Tm5Te2Ru2
1.0
7.189 0.000 2.609
0.000 7.609 0.000
0.932 0.000 8.640
Ru Tm Te
4 10 4
Cartesian
0.976 2.786 0.354
6.212 4.823 2.255
4.571 1.019 1.659
2.618 6.590 0.950
5.408 2.588 3.882
3.594 3.804 1.305
7.571 2.588 9.131
3.976 1.216 7.826
4.144 6.392 3.423
0.550 5.021 2.118
1.814 1.216 2.577
2.712 5.021 7.367
0.000 0.000 0.000
6.306 6.392 8.672
5.652 3.804 6.842
2.058 0.000 5.537
2.468 3.804 4.408
6.062 0.000 5.713
```

Calculated values
Calculated total energy in eV/atom: -6.0712
ρ in g/cm3: 9.5
Space group: Cmce

=====

13.
Entry from Alexandria: crystalline BaBe2Sb at its relaxed geometry (PBE-GGA).

Cell and atoms, written as POSCAR:
```
BaBe2Sb
1.0
3.594 0.012 0.000
-0.012 3.594 0.000
0.000 0.000 7.090
Be Sb Ba
2 1 1
Cartesian
0.000 0.000 0.683
0.000 0.000 2.862
1.791 1.803 1.773
1.791 1.803 5.318
```

Calculated values
Calculated total energy in eV/atom: -2.9893
ρ in g/cm3: 5.0
Space group: P4/mmm

=====

14.
Entry from Alexandria: crystalline NaSr2LiHg6 at its relaxed geometry (PBE-GGA).

Cell and atoms, written as POSCAR:
```
NaSr2LiHg6
1.0
8.472 -0.324 1.812
-0.377 7.774 -0.334
5.487 3.174 5.381
Sr Hg Na Li
2 6 1 1
Cartesian
8.877 2.995 3.685
4.705 7.629 3.174
11.493 4.557 5.764
2.932 1.244 1.242
7.605 6.306 4.268
5.978 4.318 2.591
10.651 9.380 5.617
2.089 6.067 1.095
0.000 0.000 0.000
4.047 3.725 0.739
```

Calculated values
ρ in g/cm3: 8.2
Energy of formation from the pure elements in meV/atom: -324
Space group: P-1

=====

15.
Entry from Alexandria: crystalline Tb5DyPb4 at its relaxed geometry (PBE-GGA).

Cell and atoms, written as POSCAR:
```
Tb5DyPb4
1.0
-2.319 -3.714 -2.388
-0.010 -3.546 5.523
-7.047 9.013 -1.967
Pb Tb Dy
4 5 1
Cartesian
-8.141 2.091 -0.556
-4.424 0.475 -1.651
-4.951 1.278 2.819
-1.234 -0.338 1.724
-5.119 3.126 0.109
-7.626 3.639 -3.463
-4.256 -1.372 1.059
-1.164 -3.630 1.567
-1.749 -1.886 4.631
-1.159 -1.857 -1.194
```

Calculated values
ρ in g/cm3: 9.8
Energy of formation from the pure elements in meV/atom: -450
Space group: C2/m

=====

16.
Entry from Alexandria: crystalline Ac6CoGe2Br3 at its relaxed geometry (PBE-GGA).

Cell and atoms, written as POSCAR:
```
Ac6CoGe2Br3
1.0
7.832 0.077 -0.004
-3.847 6.822 -0.004
-1.333 -2.308 7.631
Ge Ac Br Co
2 6 3 1
Cartesian
3.920 2.336 -0.004
0.065 4.563 -0.004
-1.179 2.101 1.551
2.717 4.705 1.676
2.409 0.029 1.551
0.242 4.563 6.072
3.831 2.490 6.072
-0.066 -0.114 5.947
1.326 2.296 3.812
-2.380 4.436 3.812
5.031 0.156 3.812
0.000 0.000 0.000
```

Calculated values
Calculated total energy in eV/atom: -4.7928
ρ in g/cm3: 7.3
Space group: C2/m

=====

17.
Entry from Alexandria: crystalline La3Ga2Ru3 at its relaxed geometry (PBE-GGA).

Cell and atoms, written as POSCAR:
```
La3Ga2Ru3
1.0
-5.652 -0.332 2.062
2.635 -0.881 7.080
-0.183 15.490 1.996
Ru La Ga
12 12 8
Cartesian
-0.710 14.300 7.796
-3.286 10.525 9.687
-1.030 3.167 5.880
-2.169 11.109 5.259
-0.079 14.855 3.546
0.002 7.969 2.658
-3.202 6.307 8.480
-2.490 -0.023 3.342
-2.571 6.863 4.229
0.086 3.751 1.452
-0.628 7.414 6.909
-3.121 -0.579 7.593
-3.471 13.140 7.452
-3.680 9.062 2.937
0.480 5.215 8.202
-0.182 11.408 3.119
0.217 5.717 4.277
-2.651 3.408 3.865
0.534 0.634 7.611
-3.417 8.559 6.861
-3.734 13.642 3.527
-0.548 10.868 7.273
-3.017 2.868 8.019
0.271 1.137 3.686
1.434 8.434 7.925
-1.073 13.477 5.401
-4.634 5.842 3.213
-1.018 8.808 4.799
-2.127 0.799 5.738
1.379 13.103 8.527
-2.182 5.468 6.339
-4.578 1.173 2.611
```

Calculated values
ρ in g/cm3: 8.0
Energy of formation from the pure elements in meV/atom: -402
Space group: Pnma

=====

18.
Entry from Alexandria: crystalline Ta2CoIr at its relaxed geometry (PBE-GGA).

Cell and atoms, written as POSCAR:
```
Ta2CoIr
1.0
6.361 0.006 0.017
-2.537 3.968 -0.008
1.287 0.829 2.428
Co Ta Ir
1 2 1
Cartesian
-0.625 2.398 1.210
3.824 0.417 1.222
0.000 0.000 0.000
1.912 1.987 0.004
```

Calculated values
ρ in g/cm3: 16.6
Energy of formation from the pure elements in meV/atom: -330
Space group: Cmmm

=====

19.
Entry from Alexandria: crystalline PuReSi at its relaxed geometry (PBE-GGA).

Cell and atoms, written as POSCAR:
```
PuReSi
1.0
3.180 0.000 0.000
0.000 3.180 0.000
-1.590 -1.590 5.290
Pu Si Re
1 1 1
Cartesian
0.000 0.000 0.028
0.000 0.000 3.169
1.590 1.590 2.092
```

Calculated values
Calculated total energy in eV/atom: -10.8987
ρ in g/cm3: 14.2
Space group: I4mm

=====

20.
Entry from Alexandria: crystalline SrAgCl2 at its relaxed geometry (PBE-GGA).

Cell and atoms, written as POSCAR:
```
SrAgCl2
1.0
-2.252 -6.036 4.633
4.535 1.210 -1.311
1.172 -0.110 3.836
Ag Cl Sr
1 2 1
Cartesian
1.142 -2.413 1.661
0.000 0.000 0.000
-0.540 -3.073 4.234
2.853 0.550 1.263
```

Calculated values
Calculated total energy in eV/atom: -3.2612
ρ in g/cm3: 4.6
Space group: C2/m

=====

21.
Entry from Alexandria: crystalline Na7Sr2 at its relaxed geometry (PBE-GGA).

Cell and atoms, written as POSCAR:
```
Na7Sr2
1.0
7.133 0.000 0.000
3.566 6.177 0.000
3.566 2.059 16.907
Na Sr
14 4
Cartesian
3.566 0.000 0.000
5.350 3.089 0.000
7.133 4.118 2.863
8.948 5.166 11.240
5.317 5.166 11.240
3.566 2.059 2.827
8.948 3.070 5.667
7.133 4.118 14.044
10.699 6.177 14.080
5.317 3.070 5.667
7.133 4.118 8.454
1.783 3.089 0.000
7.133 2.022 11.240
7.133 6.215 5.667
3.566 2.059 9.285
10.699 6.177 2.913
10.699 6.177 7.622
3.566 2.059 13.994
```

Calculated values
ρ in g/cm3: 1.5
Energy of formation from the pure elements in meV/atom: 36
Space group: R-3m

=====

22.
Entry from Alexandria: crystalline PaRe2Si2Os at its relaxed geometry (PBE-GGA).

Cell and atoms, written as POSCAR:
```
PaRe2Si2Os
1.0
-4.464 -0.056 -1.145
-0.896 -2.704 3.623
-0.809 4.219 2.949
Si Re Pa Os
2 2 1 1
Cartesian
-2.232 -0.028 -0.573
-0.448 -1.352 1.811
-2.893 -0.269 2.015
-3.276 1.728 3.411
-0.405 2.109 1.474
0.000 0.000 0.000
```

Calculated values
Calculated total energy in eV/atom: -9.0562
ρ in g/cm3: 12.8
Space group: P4/mmm

=====

23.
Entry from Alexandria: crystalline CeAgSbPd at its relaxed geometry (PBE-GGA).

Cell and atoms, written as POSCAR:
```
CeAgSbPd
1.0
4.969 0.000 0.000
2.485 4.303 0.000
2.485 1.434 4.057
Ce Sb Pd Ag
1 1 1 1
Cartesian
0.000 0.000 0.000
4.969 2.869 2.029
2.485 1.434 1.014
7.454 4.303 3.043
```

Calculated values
Calculated total energy in eV/atom: -5.0612
ρ in g/cm3: 9.1
Space group: F-43m